A plane-wave DFT calculation with PBE-GGA was carried out for BaTiF3 after structural relaxation.

E_tot: -5.705 eV/atom
E_form (uncorrected): -2.619 eV per atom
Offset from the most stable computed form: 0 meV/atom

Unit cell a=4.368 b=4.368 c=4.368 alpha=90.00 beta=90.00 gamma=90.00
Sites, in units of the cell vectors:
F1 0.000 0.500 0.000
F2 0.000 0.000 0.500
F3 0.500 0.000 0.000
Ba1 0.500 0.500 0.500
Ti1 0.000 0.000 0.000

***

A plane-wave DFT calculation with PBE-GGA was carried out for Ba2Ti2F11 after structural relaxation.

E_tot: -6.269 eV/atom
E_form (uncorrected): -3.588 eV per atom

Unit cell a=7.302 b=7.302 c=15.096 alpha=90.00 beta=90.00 gamma=120.00
Sites, in units of the cell vectors:
Ba1 0.531 0.667 0.354
Ba2 0.877 0.210 0.188
Ba3 0.333 0.864 0.021
Ba4 0.333 0.123 0.521
Ba5 0.790 0.667 0.854
Ba6 0.136 0.469 0.688
Ti1 0.553 0.497 0.117
Ti2 0.164 0.886 0.258
Ti3 0.723 0.836 0.591
Ti4 0.503 0.056 0.784
Ti5 0.114 0.277 0.925
Ti6 0.944 0.447 0.451
F1 0.333 0.429 0.021
F2 0.565 0.239 0.095
F3 0.571 0.904 0.688
F4 0.812 0.307 0.557
F5 0.567 0.886 0.864
F6 0.210 0.813 0.787
F7 0.495 0.188 0.890
F8 0.602 0.790 0.120
F9 0.114 0.681 0.531
F10 0.974 0.145 0.818
F11 0.693 0.505 0.223
F12 0.096 0.667 0.354
F13 0.767 0.614 0.030
F14 0.065 0.521 0.922
F15 0.386 0.154 0.697
F16 0.674 0.435 0.428
F17 0.899 0.180 0.011
F18 0.855 0.829 0.485
F19 0.993 0.095 0.614
F20 0.846 0.233 0.363
F21 0.905 0.899 0.280
F22 0.456 0.935 0.255
F23 0.479 0.544 0.588
F24 0.820 0.719 0.678
F25 0.171 0.026 0.152
F26 0.319 0.433 0.197
F27 0.761 0.326 0.762
F28 0.100 0.653 0.178
F29 0.347 0.447 0.845
F30 0.101 0.007 0.947
F31 0.187 0.398 0.453
F32 0.281 0.101 0.345
F33 0.553 0.900 0.511

***

A plane-wave DFT calculation with PBE-GGA was carried out for Ba2TiF after structural relaxation.

E_tot: -4.024 eV/atom
E_form (uncorrected): -0.621 eV per atom
Offset from the most stable computed form: 0 meV/atom

Unit cell a=8.058 b=8.058 c=7.219 alpha=56.07 beta=56.07 gamma=90.00
Sites, in units of the cell vectors:
F1 0.500 0.500 0.000
F2 0.250 0.750 0.500
Ba1 0.529 0.125 0.250
Ba2 0.221 0.625 0.250
Ba3 0.375 0.471 0.750
Ba4 0.875 0.779 0.750
Ti1 0.000 0.000 0.000
Ti2 0.750 0.250 0.500

***

Question: Which of these has the highest E_form (uncorrected)?
Answer: Ba2TiF